No. 1
Below is a geometry-optimized Ac2Ga5Rh structure, with properties calculated at the PBE level.

Lattice parameters (Å, degrees): 6.614 6.614 6.614 123.32 123.32 84.35
Fractional positions:
Ac1 0.000 0.500 0.500
Ac2 0.500 0.000 0.500
Ga1 0.033 0.033 0.567
Ga2 0.033 0.466 0.000
Ga3 0.045 0.045 0.000
Ga4 0.466 0.033 0.000
Ga5 0.466 0.466 0.433
Rh1 0.789 0.789 0.000

E_form   -0.505 eV per atom
Space group   I4mm
DOS(E_F)   4.0 states/eV/f.u.

=====

No. 2
Below is a geometry-optimized Ac3GaRh3 structure, with properties calculated at the PBE level.

Lattice parameters (Å, degrees): 8.867 8.867 5.959 90.00 90.00 120.00
Fractional positions:
Ac1 0.061 0.703 0.250
Ac2 0.297 0.358 0.250
Ac3 0.358 0.061 0.750
Ac4 0.642 0.939 0.250
Ac5 0.703 0.642 0.750
Ac6 0.939 0.297 0.750
Ga1 0.333 0.667 0.750
Ga2 0.667 0.333 0.250
Rh1 0.065 0.687 0.750
Rh2 0.313 0.379 0.750
Rh3 0.379 0.065 0.250
Rh4 0.621 0.935 0.750
Rh5 0.687 0.621 0.250
Rh6 0.935 0.313 0.250

Polymorph energy (0 for the lowest one)   131 meV per atom
E_form   -0.569 eV per atom
Space group   P6_3/m
DOS(E_F)   3.1 states/eV/f.u.

=====

No. 3
Below is a geometry-optimized AcGa2Rh structure, with properties calculated at the PBE level.

Lattice parameters (Å, degrees): 5.811 5.811 7.646 90.00 90.00 137.41
Fractional positions:
Ac1 0.059 0.941 0.750
Ac2 0.941 0.059 0.250
Ga1 0.335 0.665 0.555
Ga2 0.335 0.665 0.945
Ga3 0.665 0.335 0.055
Ga4 0.665 0.335 0.445
Rh1 0.216 0.784 0.250
Rh2 0.784 0.216 0.750

Polymorph energy (0 for the lowest one)   19 meV per atom
E_form   -0.701 eV per atom
Space group   Cmcm
DOS(E_F)   2.0 states/eV/f.u.

=====

No. 4
Below is a geometry-optimized AcGaRh4 structure, with properties calculated at the PBE level.

Lattice parameters (Å, degrees): 8.406 8.406 6.402 90.00 90.00 151.53
Fractional positions:
Ac1 0.102 0.898 0.750
Ac2 0.898 0.102 0.250
Ga1 0.227 0.773 0.250
Ga2 0.773 0.227 0.750
Rh1 0.078 0.922 0.250
Rh2 0.323 0.677 0.547
Rh3 0.323 0.677 0.953
Rh4 0.500 0.500 0.000
Rh5 0.500 0.500 0.500
Rh6 0.677 0.323 0.047
Rh7 0.677 0.323 0.453
Rh8 0.922 0.078 0.750

Polymorph energy (0 for the lowest one)   0 meV per atom
E_form   -0.392 eV per atom
Space group   Cmcm
DOS(E_F)   6.9 states/eV/f.u.

=====

No. 5
Below is a geometry-optimized AcGa9Rh2 structure, with properties calculated at the PBE level.

Lattice parameters (Å, degrees): 8.418 8.418 8.418 102.06 102.06 125.60
Fractional positions:
Ac1 0.375 0.625 0.750
Ac2 0.625 0.375 0.250
Ga1 0.125 0.875 0.250
Ga2 0.145 0.569 0.333
Ga3 0.145 0.812 0.576
Ga4 0.188 0.265 0.333
Ga5 0.188 0.855 0.924
Ga6 0.265 0.188 0.833
Ga7 0.265 0.431 0.076
Ga8 0.431 0.265 0.576
Ga9 0.431 0.855 0.167
Ga10 0.569 0.145 0.833
Ga11 0.569 0.735 0.424
Ga12 0.735 0.569 0.924
Ga13 0.735 0.812 0.167
Ga14 0.812 0.145 0.076
Ga15 0.812 0.735 0.667
Ga16 0.855 0.188 0.424
Ga17 0.855 0.431 0.667
Ga18 0.875 0.125 0.750
Rh1 0.000 0.000 0.000
Rh2 0.000 0.000 0.500
Rh3 0.000 0.500 0.000
Rh4 0.500 0.000 0.500

E_form   -0.427 eV per atom
Space group   I4_1/amd
DOS(E_F)   3.9 states/eV/f.u.

=====

No. 6
Below is a geometry-optimized Ac12Ga6Rh structure, with properties calculated at the PBE level.

Lattice parameters (Å, degrees): 9.158 9.158 9.158 99.29 99.29 99.29
Fractional positions:
Ac1 0.032 0.931 0.682
Ac2 0.069 0.318 0.968
Ac3 0.184 0.569 0.428
Ac4 0.318 0.968 0.069
Ac5 0.428 0.184 0.569
Ac6 0.431 0.572 0.816
Ac7 0.569 0.428 0.184
Ac8 0.572 0.816 0.431
Ac9 0.682 0.032 0.931
Ac10 0.816 0.431 0.572
Ac11 0.931 0.682 0.032
Ac12 0.968 0.069 0.318
Ga1 0.132 0.303 0.631
Ga2 0.303 0.631 0.132
Ga3 0.369 0.868 0.697
Ga4 0.631 0.132 0.303
Ga5 0.697 0.369 0.868
Ga6 0.868 0.697 0.369
Rh1 0.000 0.000 0.000

E_form   -0.237 eV per atom
Space group   R-3
DOS(E_F)   25.6 states/eV/f.u.

=====

No. 7
Below is a geometry-optimized Ac3Ga6Rh5 structure, with properties calculated at the PBE level.

Lattice parameters (Å, degrees): 4.246 13.211 9.976 90.00 90.00 90.00
Fractional positions:
Ac1 0.250 0.064 0.247
Ac2 0.250 0.436 0.247
Ac3 0.250 0.750 0.268
Ac4 0.750 0.250 0.732
Ac5 0.750 0.564 0.753
Ac6 0.750 0.936 0.753
Ga1 0.250 0.065 0.584
Ga2 0.250 0.250 0.020
Ga3 0.250 0.250 0.443
Ga4 0.250 0.435 0.584
Ga5 0.250 0.601 0.990
Ga6 0.250 0.899 0.990
Ga7 0.750 0.101 0.010
Ga8 0.750 0.399 0.010
Ga9 0.750 0.565 0.416
Ga10 0.750 0.750 0.557
Ga11 0.750 0.750 0.980
Ga12 0.750 0.935 0.416
Rh1 0.250 0.089 0.866
Rh2 0.250 0.411 0.866
Rh3 0.250 0.640 0.543
Rh4 0.250 0.750 0.805
Rh5 0.250 0.860 0.543
Rh6 0.750 0.140 0.457
Rh7 0.750 0.250 0.195
Rh8 0.750 0.360 0.457
Rh9 0.750 0.589 0.134
Rh10 0.750 0.911 0.134

E_form   -0.698 eV per atom
Space group   Pmmn
DOS(E_F)   9.5 states/eV/f.u.

=====

No. 8
Below is a geometry-optimized Ac3Ga2Rh4 structure, with properties calculated at the PBE level.

Lattice parameters (Å, degrees): 6.322 6.322 8.869 112.29 112.29 39.43
Fractional positions:
Ac1 0.000 0.000 0.000
Ac2 0.369 0.369 0.293
Ac3 0.631 0.631 0.707
Ga1 0.328 0.328 0.657
Ga2 0.672 0.672 0.343
Rh1 0.094 0.094 0.427
Rh2 0.295 0.295 0.925
Rh3 0.705 0.705 0.075
Rh4 0.906 0.906 0.573

Polymorph energy (0 for the lowest one)   39 meV per atom
E_form   -0.697 eV per atom
Space group   C2/m
DOS(E_F)   4.0 states/eV/f.u.

=====

No. 9
Below is a geometry-optimized AcGa2Rh structure, with properties calculated at the PBE level.

Lattice parameters (Å, degrees): 6.147 6.147 6.147 41.01 41.01 41.01
Fractional positions:
Ac1 0.000 0.000 0.000
Ga1 0.207 0.207 0.207
Ga2 0.793 0.793 0.793
Rh1 0.500 0.500 0.500

Polymorph energy (0 for the lowest one)   60 meV per atom
E_form   -0.660 eV per atom
Space group   R-3m
DOS(E_F)   4.7 states/eV/f.u.

=====

No. 10
Below is a geometry-optimized Ac3Ga2Rh4 structure, with properties calculated at the PBE level.

Lattice parameters (Å, degrees): 5.853 5.853 8.963 97.68 97.68 42.72
Fractional positions:
Ac1 0.000 0.000 0.000
Ac2 0.379 0.379 0.620
Ac3 0.621 0.621 0.380
Ga1 0.319 0.319 0.208
Ga2 0.681 0.681 0.792
Rh1 0.095 0.095 0.642
Rh2 0.283 0.283 0.911
Rh3 0.717 0.717 0.089
Rh4 0.905 0.905 0.358

Polymorph energy (0 for the lowest one)   0 meV per atom
E_form   -0.736 eV per atom
Space group   C2/m
DOS(E_F)   4.6 states/eV/f.u.

=====

No. 11
Below is a geometry-optimized Ac3Ga4Rh2 structure, with properties calculated at the PBE level.

Lattice parameters (Å, degrees): 6.352 6.352 8.977 103.73 103.73 39.76
Fractional positions:
Ac1 0.000 0.000 0.000
Ac2 0.321 0.321 0.346
Ac3 0.679 0.679 0.654
Ga1 0.043 0.043 0.375
Ga2 0.273 0.273 0.936
Ga3 0.727 0.727 0.064
Ga4 0.957 0.957 0.625
Rh1 0.388 0.388 0.727
Rh2 0.612 0.612 0.273

Polymorph energy (0 for the lowest one)   0 meV per atom
E_form   -0.683 eV per atom
Space group   C2/m
DOS(E_F)   6.5 states/eV/f.u.

=====

No. 12
Below is a geometry-optimized AcGa6Rh2 structure, with properties calculated at the PBE level.

Lattice parameters (Å, degrees): 8.500 8.500 8.500 60.00 60.00 60.00
Fractional positions:
Ac1 0.125 0.125 0.125
Ac2 0.875 0.875 0.875
Ga1 0.149 0.149 0.601
Ga2 0.149 0.601 0.149
Ga3 0.149 0.601 0.601
Ga4 0.399 0.399 0.851
Ga5 0.399 0.851 0.399
Ga6 0.399 0.851 0.851
Ga7 0.601 0.149 0.149
Ga8 0.601 0.149 0.601
Ga9 0.601 0.601 0.149
Ga10 0.851 0.399 0.399
Ga11 0.851 0.399 0.851
Ga12 0.851 0.851 0.399
Rh1 0.000 0.500 0.500
Rh2 0.500 0.000 0.500
Rh3 0.500 0.500 0.000
Rh4 0.500 0.500 0.500

E_form   -0.101 eV per atom
Space group   Fd-3m
DOS(E_F)   6.7 states/eV/f.u.